[1]
A geometry-optimized Li2AlRu structure, computed with PBE.

Unit cell a=5.107 b=5.107 c=5.107 alpha=139.37 beta=139.37 gamma=58.80
Fractional coordinates of all 4 atoms:
Li (0.250, 0.750, 0.500)
Li (0.750, 0.250, 0.500)
Al (0.000, 0.000, 0.000)
Ru (0.500, 0.500, 0.000)

Summary:
calculated formation energy: -0.58 eV per formula unit
crystal system: tetragonal
ρ: 4.214 Mg/m³

[2]
A geometry-optimized Li2Al2Ru structure, computed with PBE.

Unit cell a=6.795 b=6.795 c=2.867 alpha=90.00 beta=90.00 gamma=90.00
Fractional coordinates of all 10 atoms:
Li (0.119, 0.381, 0.000)
Li (0.381, 0.881, 0.000)
Li (0.619, 0.119, 0.000)
Li (0.881, 0.619, 0.000)
Al (0.180, 0.680, 0.500)
Al (0.320, 0.180, 0.500)
Al (0.680, 0.820, 0.500)
Al (0.820, 0.320, 0.500)
Ru (0.000, 0.000, 0.000)
Ru (0.500, 0.500, 0.000)

Summary:
calculated formation energy: -0.05 eV per formula unit
crystal system: tetragonal
relative energy among the computed polymorphs: 0 meV per atom
ρ: 4.238 Mg/m³